[1]
Compound: YMg2
Source: Alexandria via LeMat-Bulk
Functional: GGA-PBE
Structure: optimized geometry

- Calculated total energy: -3.279 eV/atom
- N(E_F): 5.578 states/eV/cell
- Space-group type: No. 65

a b c (Å): 7.7898 7.7898 4.3379
angles (deg): 90.00 90.00 143.76
Last column: nearest neighbours and their distance in Å.
Element x y z (fractional)
Mg1 0.3135 0.6865 0.0000  4 Mg 3.20-3.37, 6 Y 3.25-3.39
Mg2 0.4722 0.5278 0.5000  8 Mg 3.20-3.25, 4 Y 3.44
Y1 0.8073 0.1927 0.5000  10 Mg 3.25-3.44, 2 Y 3.50
Y2 0.1372 0.8628 0.5000  10 Mg 3.25-3.44, 2 Y 3.50
Mg3 0.9722 0.0278 0.0000  8 Mg 3.25-3.38, 4 Y 3.27
Mg4 0.6309 0.3691 0.0000  4 Mg 3.20-3.38, 6 Y 3.25-3.40

=====

[2]
Compound: BaLiCaSi2
Source: Alexandria via LeMat-Bulk
Functional: GGA-PBE
Structure: optimized geometry

- Formation energy (no corrections): 0.37 eV/atom
- N(E_F): 3.821 states/eV/cell
- Space-group type: No. 123

a b c (Å): 5.4702 5.2503 5.4702
angles (deg): 90.00 90.00 90.00
Last column: nearest neighbours and their distance in Å.
Element x y z (fractional)
Ba1 0.5000 0.5000 0.5000  8 Si 3.79, 4 Li 3.87
Si1 0.5000 0.0000 0.0000  2 Ca 2.74
Li1 0.0000 0.5000 0.0000  2 Ca 2.63
Ca1 0.0000 0.0000 0.0000  2 Li 2.63, 4 Si 2.74
Si2 0.0000 0.0000 0.5000  2 Ca 2.74

=====

[3]
Compound: PbINO2
Source: Alexandria via LeMat-Bulk
Functional: GGA-PBE
Structure: optimized geometry

- Formation energy (no corrections): 0.80 eV/atom
- N(E_F): 2.828 states/eV/cell
- Space-group type: No. 123

a b c (Å): 4.2297 4.2297 4.5611
angles (deg): 90.00 90.00 90.00
Last column: nearest neighbours and their distance in Å.
Element x y z (fractional)
Pb1 0.0000 0.0000 0.0000  4 O 2.11, 2 N 2.28
O1 0.5000 0.0000 0.0000  2 Pb 2.11
N1 0.0000 0.0000 0.5000  2 Pb 2.28
I1 0.5000 0.5000 0.5000  4 N 2.99, 8 O 3.11
O2 0.0000 0.5000 0.0000  2 Pb 2.11

=====

[4]
Compound: VRe3
Source: Alexandria via LeMat-Bulk
Functional: GGA-PBE
Structure: optimized geometry

- N(E_F): 2.668 states/eV/cell
- Distance to the lowest polymorph of the same formula: 0 kJ/mol of formula units
- Space-group type: No. 71

a b c (Å): 3.0498 4.3851 5.1130
angles (deg): 115.39 107.35 90.00
Last column: nearest neighbours and their distance in Å.
Element x y z (fractional)
Re1 0.7381 0.1548 0.4762  2 V 2.58, 6 Re 2.68-2.75
Re2 0.2619 0.6786 0.5238  2 V 2.58, 6 Re 2.68-2.75
V1 0.0000 0.9167 0.0000  8 Re 2.58-2.67
Re3 0.5000 0.4167 0.0000  4 V 2.67, 4 Re 2.75

=====

[5]
Compound: TiNb3Tc
Source: Alexandria via LeMat-Bulk
Functional: GGA-PBE
Structure: optimized geometry

- N(E_F): 11.003 states/eV/cell
- Distance to the lowest polymorph of the same formula: 0 kJ/mol of formula units
- Space-group type: No. 12

a b c (Å): 3.1623 7.2163 8.3652
angles (deg): 105.13 100.90 90.00
Last column: nearest neighbours and their distance in Å.
Element x y z (fractional)
Ti1 0.1241 0.1855 0.2482  2 Tc 2.68, 5 Nb 2.90-2.98
Nb1 0.0434 0.7283 0.0869  4 Tc 2.73-2.78, 2 Nb 2.81, 1 Ti 2.98
Nb2 0.2248 0.6286 0.4496  4 Nb 2.73-2.80, 2 Tc 2.75, 2 Ti 2.95
Tc1 0.4111 0.5455 0.8222  2 Ti 2.68, 6 Nb 2.73-2.78
Nb3 0.3172 0.0895 0.6343  6 Nb 2.74-2.81, 2 Ti 2.90
Nb4 0.9566 0.2717 0.9131  4 Tc 2.73-2.78, 2 Nb 2.81, 1 Ti 2.98
Ti2 0.8759 0.8145 0.7518  2 Tc 2.68, 5 Nb 2.90-2.98
Nb5 0.6828 0.9105 0.3657  6 Nb 2.74-2.81, 2 Ti 2.90
Nb6 0.7752 0.3714 0.5504  4 Nb 2.73-2.80, 2 Tc 2.75, 2 Ti 2.95
Tc2 0.5889 0.4545 0.1778  2 Ti 2.68, 6 Nb 2.73-2.78

=====

[6]
Compound: Pm2Y2Se5
Source: Alexandria via LeMat-Bulk
Functional: GGA-PBE
Structure: optimized geometry

- Formation energy (no corrections): -1.76 eV/atom
- N(E_F): 13.076 states/eV/cell
- Distance to the lowest polymorph of the same formula: 0 kJ/mol of formula units
- Space-group type: No. 64

a b c (Å): 7.7509 8.3632 8.3632
angles (deg): 124.55 90.00 90.00
Last column: nearest neighbours and their distance in Å.
Element x y z (fractional)
Pm1 0.5000 0.6974 0.3026  7 Se 2.92-3.09
Pm2 0.0000 0.8026 0.1974  7 Se 2.92-3.09
Se1 0.0000 0.0000 0.0000  4 Y 2.91-2.97, 2 Pm 2.92
Y1 0.1562 0.6510 0.6510  8 Se 2.91-3.15
Se2 0.5000 0.5000 0.5000  4 Y 2.91-2.97, 2 Pm 2.92
Se3 0.6542 0.0221 0.2957  3 Y 2.91-3.15, 3 Pm 3.00-3.09
Se4 0.1542 0.4779 0.2043  3 Y 2.91-3.15, 3 Pm 3.00-3.09
Y2 0.8438 0.3490 0.3490  8 Se 2.91-3.15
Pm3 0.5000 0.3026 0.6974  7 Se 2.92-3.09
Se5 0.8458 0.5221 0.7957  3 Y 2.91-3.15, 3 Pm 3.00-3.09
Pm4 0.0000 0.1974 0.8026  7 Se 2.92-3.09
Se6 0.3458 0.9779 0.7043  3 Y 2.91-3.15, 3 Pm 3.00-3.09
Y3 0.6562 0.8490 0.8490  8 Se 2.91-3.15
Se7 0.3458 0.7043 0.9779  3 Y 2.91-3.15, 3 Pm 3.00-3.09
Se8 0.1542 0.2043 0.4779  3 Y 2.91-3.15, 3 Pm 3.00-3.09
Se9 0.8458 0.7957 0.5221  3 Y 2.91-3.15, 3 Pm 3.00-3.09
Y4 0.3438 0.1510 0.1510  8 Se 2.91-3.15
Se10 0.6542 0.2957 0.0221  3 Y 2.91-3.15, 3 Pm 3.00-3.09

=====

[7]
Compound: NaCdH8Pt2
Source: Alexandria via LeMat-Bulk
Functional: GGA-PBE
Structure: optimized geometry

- Calculated total energy: -3.346 eV/atom
- N(E_F): 1.498 states/eV/cell
- Space-group type: No. 148

a b c (Å): 4.9606 4.9606 6.5372
angles (deg): 67.70 67.70 60.00
Last column: nearest neighbours and their distance in Å.
Element x y z (fractional)
Na1 0.5000 0.5000 0.5000  6 H 2.34
H1 0.1895 0.1895 0.4316  1 Pt 1.57
H2 0.9208 0.5831 0.2020  1 Pt 1.66
Pt1 0.2788 0.2788 0.1636  4 H 1.57-1.66
H3 0.4169 0.7060 0.7980  1 Pt 1.66
H4 0.8105 0.8105 0.5684  1 Pt 1.57
Pt2 0.7212 0.7212 0.8364  4 H 1.57-1.66
H5 0.7060 0.0792 0.7980  1 Pt 1.66
H6 0.5831 0.2940 0.2020  1 Pt 1.66
Cd1 0.0000 0.0000 0.0000  6 H 2.13
H7 0.2940 0.9208 0.2020  1 Pt 1.66
H8 0.0792 0.4169 0.7980  1 Pt 1.66

=====

[8]
Compound: CuSiB
Source: Alexandria via LeMat-Bulk
Functional: GGA-PBE
Structure: optimized geometry

- Formation energy (no corrections): 0.18 eV/atom
- N(E_F): 0.698 states/eV/cell
- Space-group type: No. 4

a b c (Å): 3.4967 3.9761 5.7738
angles (deg): 90.00 90.00 71.64
Last column: nearest neighbours and their distance in Å.
Element x y z (fractional)
Si1 0.9254 0.0708 0.5875  3 B 2.00-2.04
B1 0.3849 0.1995 0.7411  3 Si 2.00-2.04, 1 Cu 2.17
B2 0.0461 0.0140 0.2410  3 Si 2.00-2.04, 1 Cu 2.17
Cu1 0.2603 0.7093 0.9103  3 B 2.17-2.34, 3 Si 2.38-2.42
Si2 0.5056 0.1427 0.0875  3 B 2.00-2.04
Cu2 0.1707 0.5042 0.4104  3 B 2.17-2.34, 3 Si 2.37-2.42